[1]
A plane-wave DFT calculation with GGA-PBE was carried out for Ho2Hg2Pt after structural relaxation.

abc: 3.457 3.543 10.049
angles: 79.85 90.00 90.00
Atoms (fractional coordinates):
Hg 0.000 0.810 0.380
Hg 0.000 0.190 0.620
Ho 0.500 0.585 0.829
Ho 0.500 0.415 0.171
Pt 0.000 0.000 0.000

Space-group type ... No. 65
ΔH_f (0 K) ... -0.6645 eV per atom
M_tot ... 0.000 μB/atom
Uncorrected energy ... -3.82 eV per atom


[2]
A plane-wave DFT calculation with GGA-PBE was carried out for EuGdLuIn after structural relaxation.

abc: 5.521 5.521 5.521
angles: 60.00 60.00 60.00
Each line ends with the local moment (μB).
Atoms (fractional coordinates):
Eu 0.500 0.500 0.500  6.84
In 0.250 0.250 0.250  -0.03
Gd 0.000 0.000 0.000  7.21
Lu 0.750 0.750 0.750  0.16

Space-group type ... No. 216
ΔH_f (0 K) ... -0.1320 eV per atom
M_tot ... 3.685 μB/atom
Uncorrected energy ... -8.04 eV per atom


[3]
A plane-wave DFT calculation with GGA-PBE was carried out for CdIF2 after structural relaxation.

abc: 6.669 6.669 6.671
angles: 60.01 60.01 90.00
Each line ends with the local moment (μB).
Atoms (fractional coordinates):
F 0.375 0.530 0.750  0.02
F 0.280 0.625 0.250  0.02
F 0.875 0.720 0.750  0.02
F 0.470 0.125 0.250  0.01
Cd 0.500 0.500 0.000  0.00
Cd 0.250 0.750 0.500  0.00
I 0.000 0.000 0.000  0.63
I 0.750 0.250 0.500  0.63

Formation energy from raw total energies ... -1.29 eV/atom
Space-group type ... No. 122
M_tot ... 0.250 μB/atom
Energy above the lowest structure with this stoichiometry ... 217.8 meV/atom
Uncorrected energy ... -2.84 eV per atom


[4]
A plane-wave DFT calculation with GGA-PBE was carried out for KInGaAg3 after structural relaxation.

abc: 6.987 6.546 7.384
angles: 116.31 90.00 90.00
Atoms (fractional coordinates):
Ag 0.000 0.279 0.000
Ag 0.750 0.851 0.701
Ag 0.500 0.279 0.000
Ag 0.000 0.721 0.000
Ag 0.250 0.149 0.299
Ag 0.500 0.721 0.000
Ga 0.750 0.053 0.107
Ga 0.250 0.947 0.893
In 0.250 0.364 0.728
In 0.750 0.636 0.272
K 0.750 0.294 0.587
K 0.250 0.706 0.413

Space-group type ... No. 63
ΔH_f (0 K) ... 0.0424 eV per atom
M_tot ... 0.000 μB/atom
Uncorrected energy ... -2.53 eV per atom


[5]
A plane-wave DFT calculation with GGA-PBE was carried out for Rb2TiMoS after structural relaxation.

abc: 7.102 4.590 7.102
angles: 90.00 90.00 90.00
Each line ends with the local moment (μB).
Atoms (fractional coordinates):
Rb 0.500 0.000 0.000  0.03
Rb 0.000 0.000 0.500  0.03
S 0.000 0.500 0.000  -0.08
Mo 0.500 0.500 0.500  4.00
Ti 0.000 0.000 0.000  1.69

Formation energy from raw total energies ... 0.98 eV/atom
Space-group type ... No. 123
M_tot ... 1.539 μB/atom
Uncorrected energy ... -3.97 eV per atom


[6]
A plane-wave DFT calculation with GGA-PBE was carried out for CsK2BO3 after structural relaxation.

abc: 8.439 8.439 8.439
angles: 43.26 43.26 43.26
Atoms (fractional coordinates):
O 0.710 0.710 0.317
O 0.290 0.290 0.683
O 0.683 0.290 0.290
O 0.290 0.683 0.290
O 0.317 0.710 0.710
O 0.710 0.317 0.710
B 0.424 0.424 0.424
B 0.576 0.576 0.576
Cs 0.296 0.296 0.296
Cs 0.704 0.704 0.704
K 0.000 0.500 0.000
K 0.000 0.000 0.000
K 0.500 0.000 0.000
K 0.000 0.000 0.500

Formation energy from raw total energies ... -1.76 eV/atom
Space-group type ... No. 166
M_tot ... 0.000 μB/atom
Uncorrected energy ... -5.27 eV per atom


[7]
A plane-wave DFT calculation with GGA-PBE was carried out for La3SmN4 after structural relaxation.

abc: 5.250 5.250 5.250
angles: 90.00 90.00 90.00
Atoms (fractional coordinates):
N 0.000 0.500 0.000
N 0.500 0.500 0.500
N 0.000 0.000 0.500
N 0.500 0.000 0.000
La 0.500 0.500 0.000
La 0.000 0.500 0.500
La 0.500 0.000 0.500
Sm 0.000 0.000 0.000

Formation energy from raw total energies ... -1.34 eV/atom
Space-group type ... No. 221
M_tot ... 0.000 μB/atom
Energy above the lowest structure with this stoichiometry ... 9.5 meV/atom
Uncorrected energy ... -7.94 eV per atom


[8]
A plane-wave DFT calculation with GGA-PBE was carried out for Li2MgRe after structural relaxation.

abc: 4.792 2.593 5.140
angles: 86.70 90.00 90.00
Atoms (fractional coordinates):
Li 0.000 0.439 0.536
Li 0.000 0.061 0.964
Mg 0.500 0.250 0.250
Re 0.500 0.750 0.750

Space-group type ... No. 10
ΔH_f (0 K) ... 0.3238 eV per atom
M_tot ... 0.000 μB/atom
Energy above the lowest structure with this stoichiometry ... 125.0 meV/atom
Uncorrected energy ... -4.14 eV per atom


[9]
A plane-wave DFT calculation with GGA-PBE was carried out for MnFe3Ag after structural relaxation.

abc: 4.227 4.227 4.227
angles: 90.00 90.00 90.00
Each line ends with the local moment (μB).
Atoms (fractional coordinates):
Fe 0.500 0.000 0.000  1.70
Fe 0.000 0.000 0.500  2.15
Fe 0.000 0.500 0.000  2.06
Mn 0.000 0.000 0.000  -0.58
Ag 0.500 0.500 0.500  -0.01

Space-group type ... No. 221
ΔH_f (0 K) ... 1.0866 eV per atom
M_tot ... 1.051 μB/atom
Energy above the lowest structure with this stoichiometry ... 0.0 meV/atom
Uncorrected energy ... -6.40 eV per atom


[10]
A plane-wave DFT calculation with GGA-PBE was carried out for Nd4Zn3Cu after structural relaxation.

abc: 3.677 4.526 11.986
angles: 90.00 90.00 90.00
Atoms (fractional coordinates):
Nd 0.500 0.500 0.345
Nd 0.000 0.000 0.148
Nd 0.500 0.000 0.654
Nd 0.000 0.500 0.853
Zn 0.000 0.000 0.436
Zn 0.000 0.500 0.563
Zn 0.500 0.000 0.938
Cu 0.500 0.500 0.063

Space-group type ... No. 25
ΔH_f (0 K) ... -0.2334 eV per atom
M_tot ... 0.000 μB/atom
Energy above the lowest structure with this stoichiometry ... 29.0 meV/atom
Uncorrected energy ... -3.61 eV per atom


[11]
A plane-wave DFT calculation with GGA-PBE was carried out for MgAl2Si6O16 after structural relaxation.

abc: 5.133 8.325 8.524
angles: 89.36 89.74 85.59
Atoms (fractional coordinates):
O 0.981 0.210 0.082
O 0.369 0.193 0.265
O 0.784 0.668 0.160
O 0.845 0.126 0.397
O 0.435 0.567 0.690
O 0.651 0.423 0.331
O 0.263 0.875 0.660
O 0.060 0.758 0.921
O 0.083 0.352 0.830
O 0.578 0.305 0.901
O 0.296 0.583 0.157
O 0.446 0.252 0.569
O 0.773 0.794 0.662
O 0.135 0.890 0.200
O 0.898 0.053 0.816
O 0.492 0.723 0.418
Mg 0.305 0.342 0.073
Si 0.560 0.604 0.274
Si 0.581 0.242 0.399
Si 0.882 0.226 0.901
Si 0.491 0.736 0.612
Si 0.996 0.870 0.764
Si 0.063 0.734 0.110
Al 0.076 0.090 0.252
Al 0.381 0.370 0.730

Formation energy from raw total energies ... -2.81 eV/atom
Space-group type ... No. 1
M_tot ... 0.000 μB/atom
Energy above the lowest structure with this stoichiometry ... 0.0 meV/atom
Uncorrected energy ... -7.65 eV per atom


[12]
A plane-wave DFT calculation with GGA-PBE was carried out for Rb3CaS after structural relaxation.

abc: 6.576 6.576 6.576
angles: 90.00 90.00 90.00
Atoms (fractional coordinates):
Rb 0.000 0.000 0.500
Rb 0.500 0.000 0.000
Rb 0.000 0.500 0.000
Ca 0.500 0.500 0.500
S 0.000 0.000 0.000

Formation energy from raw total energies ... -0.31 eV/atom
Space-group type ... No. 221
M_tot ... 0.001 μB/atom
Energy above the lowest structure with this stoichiometry ... 0.0 meV/atom
Uncorrected energy ... -2.12 eV per atom